## P
The following is a PBE-GGA calculation of a relaxed LaCdMo3 crystal, from Alexandria via LeMat-Bulk.

abc: 4.826 4.826 4.826
angles: 90.00 90.00 90.00
Space group Pm-3m (No. 221)
Symmetry-distinct sites (fractional):
La  0.000  0.000  0.000 [1 per cell]
Cd  0.500  0.500  0.500 [1 per cell]
Mo  0.000  0.000  0.500 [3 per cell]

## Q
The following is a PBE-GGA calculation of a relaxed LaCdMo3 crystal, from Alexandria via LeMat-Bulk.

abc: 4.996 4.996 4.996
angles: 90.00 90.00 90.00
Space group Pm-3m (No. 221)
Symmetry-distinct sites (fractional):
La  0.000  0.000  0.000 [1 per cell]
Cd  0.500  0.500  0.500 [1 per cell]
Mo  0.000  0.500  0.500 [3 per cell]

Most stable structure: Q